U6Cu3S14 | Alexandria | GGA-PBE | relaxed; total energy = -7.156 eV/atom; density = 7.6 g/cm3; space group = No. 143
1.0
-4.248 3.414 -1.465
-6.289 -6.911 2.127
2.705 6.257 6.736
S U Cu
14 6 3
Cartesian
-2.708 7.910 4.929 S
-6.565 0.499 4.712 S
-3.113 -0.168 4.125 S
-6.562 3.511 5.850 S
-3.931 -2.376 1.350 S
-4.128 4.244 0.502 S
-5.472 -2.897 4.605 S
-2.397 2.623 2.555 S
-4.964 1.035 1.320 S
-3.536 2.714 6.070 S
-1.909 1.534 -0.659 S
-1.105 5.216 4.850 S
-4.352 5.130 3.800 S
-7.421 -1.804 1.828 S
-2.093 5.237 2.289 U
-4.657 -0.948 6.314 U
-5.810 -4.171 2.145 U
-2.324 -0.101 1.525 U
-3.310 5.440 6.293 U
-4.845 2.455 3.786 U
-1.800 3.078 4.680 Cu
-6.195 -0.188 2.662 Cu
-3.612 2.903 -1.246 Cu